No. 1
Density functional theory data (PBE) for an optimized crystal structure of Rb2TiNiCl6.

Calculated values
ρ: 3.103 Mg/m³
Density of states at the Fermi level: 2.187 states/eV/cell

Cell: 7.5956 7.5956 9.0939 Å, 90.00 90.00 90.00°
Space group I4/mmm (No. 139)
One atom of each set of equivalent atoms:
1 Rb 0.0000 0.5000 0.2500 (multiplicity 4)
2 Ti 0.0000 0.0000 0.0000 (multiplicity 2)
3 Ni 0.0000 0.0000 0.5000 (multiplicity 2)
4 Cl 0.0000 0.0000 0.2640 (multiplicity 4)
5 Cl 0.2258 0.2258 0.0000 (multiplicity 8)


No. 2
Density functional theory data (PBE) for an optimized crystal structure of Rb3TlNi2Cl9.

Calculated values
ρ: 3.724 Mg/m³
Density of states at the Fermi level: 2.674 states/eV/cell

Cell: 7.1838 7.1838 8.9512 Å, 90.00 90.00 120.00°
Space group P-3m1 (No. 164)
One atom of each set of equivalent atoms:
1 Rb 0.0000 0.0000 0.0000 (multiplicity 1)
2 Rb 0.3333 0.6667 0.6867 (multiplicity 2)
3 Tl 0.0000 0.0000 0.5000 (multiplicity 1)
4 Ni 0.3333 0.6667 0.1571 (multiplicity 2)
5 Cl 0.0000 0.5000 0.0000 (multiplicity 3)
6 Cl 0.1805 0.3610 0.3088 (multiplicity 6)


No. 3
Density functional theory data (PBE) for an optimized crystal structure of RbTlNiCl4.

Calculated values
ρ: 3.312 Mg/m³

Cell: 6.4701 7.6617 10.1776 Å, 90.00 102.98 90.00°
Space group P2_1/m (No. 11)
One atom of each set of equivalent atoms:
1 Rb 0.2336 0.2500 0.4959 (multiplicity 2)
2 Tl 0.2716 0.2500 0.0265 (multiplicity 2)
3 Ni 0.2410 0.7500 0.7766 (multiplicity 2)
4 Cl 0.2061 0.0321 0.7681 (multiplicity 4)
5 Cl 0.2287 0.7500 0.9903 (multiplicity 2)
6 Cl 0.2906 0.7500 0.5681 (multiplicity 2)


Result set for calculated total energy: -4.072; -3.375; -3.394 eV per atom, one per record in the order listed.